Entry 1:
Entry from Alexandria via LeMat-Bulk: a geometry-optimized MgGa6Br12 structure (PBE).

Cell lengths 11.8372, 11.8372, 11.8373 Å; angles 117.07, 117.07, 117.07 degrees
With the nearest neighbours (Å) after each atom.
Fractional positions:
Mg: 0.0000 0.0000 0.0000  6 Ga 2.88
Ga: 0.0900 0.2760 0.3250  3 Br 2.34-2.52
Ga: 0.7240 0.6750 0.9100  3 Br 2.34-2.52
Ga: 0.6750 0.9100 0.7240  3 Br 2.34-2.52
Ga: 0.9100 0.7240 0.6750  3 Br 2.34-2.52
Ga: 0.2760 0.3250 0.0900  3 Br 2.34-2.52
Ga: 0.3250 0.0900 0.2760  3 Br 2.34-2.52
Br: 0.5385 0.3038 0.6534  2 Ga 2.52
Br: 0.3038 0.6534 0.5385  2 Ga 2.52
Br: 0.6534 0.5385 0.3038  2 Ga 2.52
Br: 0.4615 0.6962 0.3466  2 Ga 2.52
Br: 0.6962 0.3466 0.4615  2 Ga 2.52
Br: 0.3466 0.4615 0.6962  2 Ga 2.52
Br: 0.1019 0.1890 0.7705  1 Ga 2.34
Br: 0.2295 0.8981 0.8110  1 Ga 2.34
Br: 0.8110 0.2295 0.8981  1 Ga 2.34
Br: 0.8981 0.8110 0.2295  1 Ga 2.34
Br: 0.7705 0.1019 0.1890  1 Ga 2.34
Br: 0.1890 0.7705 0.1019  1 Ga 2.34

Calculated values
Uncorrected energy, eV/f.u.: -49.6
Formation energy from raw total energies, meV/atom: -515.0

=====

Entry 2:
Entry from Alexandria via LeMat-Bulk: a geometry-optimized MgGa3Br structure (PBE).

Cell lengths 5.5321, 5.5321, 5.5321 Å; angles 90.00, 90.00, 90.00 degrees
With the nearest neighbours (Å) after each atom.
Fractional positions:
Mg: 0.5000 0.5000 0.5000  12 Ga 3.91
Ga: 0.0000 0.5000 0.0000  2 Br 2.77
Ga: 0.0000 0.0000 0.5000  2 Br 2.77
Ga: 0.5000 0.0000 0.0000  2 Br 2.77
Br: 0.0000 0.0000 0.0000  6 Ga 2.77

Calculated values
Uncorrected energy, eV/f.u.: -10.3
Formation energy from raw total energies, meV/atom: 410.6

=====

Entry 3:
Entry from Alexandria via LeMat-Bulk: a geometry-optimized MgGa2Br6 structure (PBE).

Cell lengths 8.8860, 8.8152, 8.8152 Å; angles 86.55, 75.02, 75.02 degrees
With the nearest neighbours (Å) after each atom.
Fractional positions:
Mg: 0.2500 0.0685 0.9315  4 Br 2.58-2.71
Mg: 0.7500 0.9315 0.0685  4 Br 2.58-2.71
Ga: 0.2567 0.5960 0.7770  4 Br 2.54-2.61
Ga: 0.2433 0.2230 0.4040  4 Br 2.54-2.61
Ga: 0.7433 0.4040 0.2230  4 Br 2.54-2.61
Ga: 0.7567 0.7770 0.5960  4 Br 2.54-2.61
Br: 0.5440 0.6226 0.6590  2 Ga 2.54-2.56
Br: 0.9560 0.3410 0.3774  2 Ga 2.54-2.56
Br: 0.4560 0.3774 0.3410  2 Ga 2.54-2.56
Br: 0.0440 0.6590 0.6226  2 Ga 2.54-2.56
Br: 0.7467 0.9643 0.3587  1 Mg 2.58, 1 Ga 2.59
Br: 0.7533 0.6413 0.0357  1 Mg 2.58, 1 Ga 2.59
Br: 0.2533 0.0357 0.6413  1 Mg 2.58, 1 Ga 2.59
Br: 0.2467 0.3587 0.9643  1 Mg 2.58, 1 Ga 2.59
Br: 0.1373 0.8087 0.9997  1 Ga 2.61, 1 Mg 2.71
Br: 0.3627 0.0003 0.1913  1 Ga 2.61, 1 Mg 2.71
Br: 0.8627 0.1913 0.0003  1 Ga 2.61, 1 Mg 2.71
Br: 0.6373 0.9997 0.8087  1 Ga 2.61, 1 Mg 2.71

Calculated values
Uncorrected energy, eV/f.u.: -25.2
Formation energy from raw total energies, meV/atom: -830.8

=====

Entry 4:
Entry from Alexandria via LeMat-Bulk: a geometry-optimized MgGaBr structure (PBE).

Cell lengths 3.5459, 3.5750, 13.3454 Å; angles 90.00, 90.00, 119.73 degrees
With the nearest neighbours (Å) after each atom.
Fractional positions:
Ga: 0.4721 0.9442 0.0000  6 Mg 2.91
Ga: 0.2975 0.5950 0.5000  4 Br 3.37, 6 Ga 3.55-3.57
Br: 0.8087 0.6174 0.2851  3 Mg 2.70
Br: 0.8087 0.6174 0.7149  3 Mg 2.70
Mg: 0.1398 0.2796 0.8460  3 Br 2.70, 3 Ga 2.91
Mg: 0.1398 0.2796 0.1540  3 Br 2.70, 3 Ga 2.91

Calculated values
Uncorrected energy, eV/f.u.: -7.8
Formation energy from raw total energies, meV/atom: -506.2

=====

Entry 5:
Entry from Alexandria via LeMat-Bulk: a geometry-optimized MgGa2Br4 structure (PBE).

Cell lengths 4.0311, 7.3334, 7.9886 Å; angles 76.07, 75.39, 74.05 degrees
With the nearest neighbours (Å) after each atom.
Fractional positions:
Mg: 0.0000 0.0000 0.0000  6 Br 2.66-2.75
Ga: 0.4226 0.4496 0.7051  3 Br 2.86-2.90, 1 Ga 3.12
Ga: 0.5774 0.5504 0.2949  3 Br 2.86-2.90, 1 Ga 3.12
Br: 0.0806 0.1742 0.6646  1 Mg 2.66, 2 Ga 2.86
Br: 0.9194 0.8258 0.3354  1 Mg 2.66, 2 Ga 2.86
Br: 0.3465 0.2416 0.0654  2 Mg 2.75, 1 Ga 2.90
Br: 0.6535 0.7584 0.9346  2 Mg 2.75, 1 Ga 2.90

Calculated values
Uncorrected energy, eV/f.u.: -20.8
Formation energy from raw total energies, meV/atom: -918.8

=====

Entry 6:
Entry from Alexandria via LeMat-Bulk: a geometry-optimized MgGaBr2 structure (PBE).

Cell lengths 8.2048, 8.2048, 6.7949 Å; angles 52.86, 52.86, 90.00 degrees
With the nearest neighbours (Å) after each atom.
Fractional positions:
Mg: 0.5000 0.5000 0.0000  4 Br 2.61
Mg: 0.2500 0.7500 0.5000  4 Br 2.61
Ga: 0.0000 0.0000 0.0000  2 Mg 3.54, 8 Br 3.54-3.62
Ga: 0.7500 0.2500 0.5000  2 Mg 3.54, 8 Br 3.54-3.62
Br: 0.5402 0.1250 0.2500  2 Mg 2.61
Br: 0.2098 0.6250 0.2500  2 Mg 2.61
Br: 0.3750 0.4598 0.7500  2 Mg 2.61
Br: 0.8750 0.7902 0.7500  2 Mg 2.61

Calculated values
Uncorrected energy, eV/f.u.: -10.3
Formation energy from raw total energies, meV/atom: -576.4

=====

Entry 7:
Entry from Alexandria via LeMat-Bulk: a geometry-optimized Mg5Ga3Br12 structure (PBE).

Cell lengths 14.8370, 14.8370, 14.8370 Å; angles 109.47, 109.47, 109.47 degrees
With the nearest neighbours (Å) after each atom.
Fractional positions:
Ga: 0.7500 0.3750 0.1250  8 Br 3.34-3.42
Ga: 0.8750 0.7500 0.1250  8 Br 3.34-3.42
Ga: 0.3750 0.7500 0.6250  8 Br 3.34-3.42
Ga: 0.2500 0.1250 0.3750  8 Br 3.34-3.42
Ga: 0.8750 0.1250 0.2500  8 Br 3.34-3.42
Ga: 0.3750 0.6250 0.2500  8 Br 3.34-3.42
Ga: 0.6250 0.3750 0.7500  8 Br 3.34-3.42
Ga: 0.1250 0.8750 0.7500  8 Br 3.34-3.42
Ga: 0.7500 0.8750 0.6250  8 Br 3.34-3.42
Ga: 0.6250 0.2500 0.3750  8 Br 3.34-3.42
Ga: 0.1250 0.2500 0.8750  8 Br 3.34-3.42
Ga: 0.2500 0.6250 0.8750  8 Br 3.34-3.42
Mg: 0.1250 0.3750 0.2500  4 Br 2.56
Mg: 0.0000 0.5000 0.0000  6 Br 2.74
Mg: 0.0000 0.0000 0.0000  6 Br 2.74
Mg: 0.3750 0.2500 0.1250  4 Br 2.56
Mg: 0.5000 0.0000 0.5000  6 Br 2.74
Mg: 0.5000 0.5000 0.0000  6 Br 2.74
Mg: 0.1250 0.7500 0.3750  4 Br 2.56
Mg: 0.7500 0.1250 0.8750  4 Br 2.56
Mg: 0.7500 0.6250 0.3750  4 Br 2.56
Mg: 0.3750 0.1250 0.7500  4 Br 2.56
Mg: 0.6250 0.8750 0.2500  4 Br 2.56
Mg: 0.5000 0.5000 0.5000  6 Br 2.74
Mg: 0.5000 0.0000 0.0000  6 Br 2.74
Mg: 0.0000 0.0000 0.5000  6 Br 2.74
Mg: 0.2500 0.3750 0.6250  4 Br 2.56
Mg: 0.2500 0.8750 0.1250  4 Br 2.56
Mg: 0.0000 0.5000 0.5000  6 Br 2.74
Mg: 0.8750 0.2500 0.6250  4 Br 2.56
Mg: 0.6250 0.7500 0.8750  4 Br 2.56
Mg: 0.8750 0.6250 0.7500  4 Br 2.56
Br: 0.7015 0.1157 0.0228  2 Mg 2.56-2.74
Br: 0.3213 0.5228 0.4070  2 Mg 2.56-2.74
Br: 0.9772 0.3843 0.2985  2 Mg 2.56-2.74
Br: 0.5228 0.2015 0.1157  2 Mg 2.56-2.74
Br: 0.5857 0.7015 0.6787  2 Mg 2.56-2.74
Br: 0.9772 0.5930 0.1787  2 Mg 2.56-2.74
Br: 0.3213 0.7985 0.4143  2 Mg 2.56-2.74
Br: 0.0930 0.9143 0.1157  2 Mg 2.56-2.74
Br: 0.5930 0.9772 0.6787  2 Mg 2.56-2.74
Br: 0.7015 0.5857 0.1787  2 Mg 2.56-2.74
Br: 0.7985 0.4772 0.3843  2 Mg 2.56-2.74
Br: 0.8213 0.9070 0.0228  2 Mg 2.56-2.74
Br: 0.1157 0.7015 0.5228  2 Mg 2.56-2.74
Br: 0.3843 0.4070 0.0857  2 Mg 2.56-2.74
Br: 0.0857 0.9070 0.3843  2 Mg 2.56-2.74
Br: 0.4143 0.1157 0.5930  2 Mg 2.56-2.74
Br: 0.0857 0.1787 0.2015  2 Mg 2.56-2.74
Br: 0.4772 0.6787 0.0930  2 Mg 2.56-2.74
Br: 0.8213 0.9143 0.2985  2 Mg 2.56-2.74
Br: 0.1157 0.4143 0.0930  2 Mg 2.56-2.74
Br: 0.3843 0.9772 0.7985  2 Mg 2.56-2.74
Br: 0.5930 0.6157 0.4143  2 Mg 2.56-2.74
Br: 0.9070 0.8213 0.5228  2 Mg 2.56-2.74
Br: 0.7985 0.3213 0.9143  2 Mg 2.56-2.74
Br: 0.4070 0.3843 0.5857  2 Mg 2.56-2.74
Br: 0.0930 0.1787 0.4772  2 Mg 2.56-2.74
Br: 0.2015 0.6787 0.0857  2 Mg 2.56-2.74
Br: 0.1787 0.0857 0.7015  2 Mg 2.56-2.74
Br: 0.6157 0.0228 0.2015  2 Mg 2.56-2.74
Br: 0.8843 0.5857 0.9070  2 Mg 2.56-2.74
Br: 0.5228 0.3213 0.9070  2 Mg 2.56-2.74
Br: 0.5857 0.8843 0.4070  2 Mg 2.56-2.74
Br: 0.9143 0.8213 0.7985  2 Mg 2.56-2.74
Br: 0.9143 0.0930 0.6157  2 Mg 2.56-2.74
Br: 0.8843 0.2985 0.4772  2 Mg 2.56-2.74
Br: 0.1787 0.0930 0.9772  2 Mg 2.56-2.74
Br: 0.6157 0.5930 0.9143  2 Mg 2.56-2.74
Br: 0.4070 0.0228 0.3213  2 Mg 2.56-2.74
Br: 0.2985 0.4143 0.8213  2 Mg 2.56-2.74
Br: 0.2015 0.5228 0.6157  2 Mg 2.56-2.74
Br: 0.9070 0.0857 0.8843  2 Mg 2.56-2.74
Br: 0.6787 0.2015 0.5857  2 Mg 2.56-2.74
Br: 0.4772 0.7985 0.8843  2 Mg 2.56-2.74
Br: 0.0228 0.4070 0.8213  2 Mg 2.56-2.74
Br: 0.4143 0.2985 0.3213  2 Mg 2.56-2.74
Br: 0.0228 0.6157 0.7015  2 Mg 2.56-2.74
Br: 0.6787 0.4772 0.5930  2 Mg 2.56-2.74
Br: 0.2985 0.8843 0.9772  2 Mg 2.56-2.74

Calculated values
Uncorrected energy, eV/f.u.: -58.2
Formation energy from raw total energies, meV/atom: -1051.8

=====

Entry 8:
Entry from Alexandria via LeMat-Bulk: a geometry-optimized MgGa2Br6 structure (PBE).

Cell lengths 6.7213, 10.5739, 10.5739 Å; angles 86.77, 84.77, 84.77 degrees
With the nearest neighbours (Å) after each atom.
Fractional positions:
Mg: 0.2500 0.0016 0.9984  4 Br 2.53
Mg: 0.7500 0.9984 0.0016  4 Br 2.53
Ga: 0.2344 0.4994 0.6614  3 Br 2.31-2.53, 1 Ga 2.45
Ga: 0.2656 0.3386 0.5006  3 Br 2.31-2.53, 1 Ga 2.45
Ga: 0.7656 0.5006 0.3386  3 Br 2.31-2.53, 1 Ga 2.45
Ga: 0.7344 0.6614 0.4994  3 Br 2.31-2.53, 1 Ga 2.45
Br: 0.3692 0.7059 0.5773  2 Ga 2.53
Br: 0.1308 0.4227 0.2941  2 Ga 2.53
Br: 0.6308 0.2941 0.4227  2 Ga 2.53
Br: 0.8692 0.5773 0.7059  2 Ga 2.53
Br: 0.8428 0.8620 0.4585  1 Ga 2.31
Br: 0.6572 0.5415 0.1380  1 Ga 2.31
Br: 0.1572 0.1380 0.5415  1 Ga 2.31
Br: 0.3428 0.4585 0.8620  1 Ga 2.31
Br: 0.0284 0.8200 0.0023  2 Mg 2.53
Br: 0.4716 0.9977 0.1800  2 Mg 2.53
Br: 0.9716 0.1800 0.9977  2 Mg 2.53
Br: 0.5284 0.0023 0.8200  2 Mg 2.53

Calculated values
Uncorrected energy, eV/f.u.: -26.4
Formation energy from raw total energies, meV/atom: -970.1

=====

Entry 9:
Entry from Alexandria via LeMat-Bulk: a geometry-optimized MgGaBr2 structure (PBE).

Cell lengths 5.2814, 5.2814, 5.2814 Å; angles 60.00, 60.00, 60.00 degrees
With the nearest neighbours (Å) after each atom.
Fractional positions:
Mg: 0.0000 0.0000 0.0000  8 Br 3.23
Ga: 0.5000 0.5000 0.5000  8 Br 3.23
Br: 0.2500 0.2500 0.2500  4 Ga 3.23, 4 Mg 3.23
Br: 0.7500 0.7500 0.7500  4 Mg 3.23, 4 Ga 3.23

Calculated values
Uncorrected energy, eV/f.u.: -9.8
Formation energy from raw total energies, meV/atom: -451.0

=====

Entry 10:
Entry from Alexandria via LeMat-Bulk: a geometry-optimized MgGa2Br4 structure (PBE).

Cell lengths 5.3096, 5.3096, 8.5932 Å; angles 72.00, 72.00, 90.00 degrees
With the nearest neighbours (Å) after each atom.
Fractional positions:
Mg: 0.0000 0.0000 0.0000  6 Br 2.65-2.67
Ga: 0.6406 0.6406 0.7189  1 Br 2.89
Ga: 0.3594 0.3594 0.2811  1 Br 2.89
Br: 0.8273 0.8273 0.3455  1 Mg 2.67, 1 Ga 2.89
Br: 0.1727 0.1727 0.6545  1 Mg 2.67, 1 Ga 2.89
Br: 0.0000 0.5000 0.0000  2 Mg 2.65
Br: 0.5000 0.0000 0.0000  2 Mg 2.65

Calculated values
Uncorrected energy, eV/f.u.: -20.3
Formation energy from raw total energies, meV/atom: -850.5